CdW2AuF: optimized geometry, PBE+U.

Electronic total energy, eV for the cell shown: -14.97
Fermi-level density of states, states/eV/atom: 0.39

```
5
Lattice="5.417 0.000 0.000 0.000 4.524 0.000 0.000 0.000 5.417" Properties=species:S:1:pos:R:3 pbc="T T T"
Cd 2.708 2.262 2.708
W 2.708 0.000 0.000
W 0.000 0.000 2.708
Au 0.000 0.000 0.000
F 0.000 2.262 0.000
```